1.
! TlPtCl2 PBE relaxed; values from VASP
&SYSTEM
  ibrav = 0, nat = 4, ntyp = 3
/
ATOMIC_SPECIES
Tl 204.38 Tl.upf
Cl 35.45 Cl.upf
Pt 195.08 Pt.upf
ATOMIC_POSITIONS crystal
Tl 0.500 0.500 0.750
Cl 0.000 0.000 0.460
Cl 0.000 0.000 0.040
Pt 0.500 0.500 0.250
CELL_PARAMETERS angstrom
3.450 0.000 0.000
0.000 3.466 0.000
0.000 0.000 7.508
! Offset from the most stable computed form = 483 meV per atom
! VASP energy = -11.44 eV for the cell shown
! Total moment = 1.025 μB/f.u.
! DOS at the Fermi energy = 4.2 states/eV/cell
! Space group = No. 47
! Crystal system = orthorhombic
! Formation energy without anion corrections = 0.165 eV/atom



2.
! TlPt2Cl PBE relaxed; values from VASP
&SYSTEM
  ibrav = 0, nat = 4, ntyp = 3
/
ATOMIC_SPECIES
Cl 35.45 Cl.upf
Pt 195.08 Pt.upf
Tl 204.38 Tl.upf
ATOMIC_POSITIONS crystal
Cl 0.500 0.877 0.805
Pt 0.000 0.868 0.045
Pt 0.500 0.364 0.174
Tl 0.000 0.392 0.475
CELL_PARAMETERS angstrom
3.604 0.000 0.000
0.000 3.334 -0.010
0.000 0.138 7.569
! Offset from the most stable computed form = 0 meV per atom
! VASP energy = -16.08 eV for the cell shown
! Total moment = 0.000 μB/f.u.
! DOS at the Fermi energy = 0.9 states/eV/cell
! Space group = No. 6
! Crystal system = monoclinic
! Formation energy without anion corrections = 0.054 eV/atom